Record 1
Computed, not measured: a relaxed Pm8AuSe6 crystal at the PBE level of DFT.

Structure (CIF):
```
data_Pm8AuSe6
_cell_length_a 10.6931
_cell_length_b 10.6931
_cell_length_c 4.2010
_cell_angle_alpha 90.00
_cell_angle_beta 90.00
_cell_angle_gamma 120.00
_symmetry_space_group_name_H-M 'P 1'
_symmetry_Int_Tables_number 1
loop_
_symmetry_equiv_pos_as_xyz
'x,y,z'
loop_
_atom_site_label
_atom_site_fract_x
_atom_site_fract_y
_atom_site_fract_z
_atom_site_occupancy
Pm1 0.0347 0.3123 0.2497 1
Pm2 0.2776 0.9653 0.2497 1
Pm3 0.3123 0.2776 0.7503 1
Pm4 0.3333 0.6667 0.7505 1
Pm5 0.6667 0.3333 0.2495 1
Pm6 0.6877 0.7224 0.2497 1
Pm7 0.7224 0.0347 0.7503 1
Pm8 0.9653 0.6877 0.7503 1
Au1 0.0000 0.0000 0.0000 1
Se1 0.1282 0.6460 0.2499 1
Se2 0.3540 0.4821 0.2499 1
Se3 0.4821 0.1282 0.7501 1
Se4 0.5179 0.8718 0.2499 1
Se5 0.6460 0.5179 0.7501 1
Se6 0.8718 0.3540 0.7501 1
```

For the density of states at the Fermi level, the calculation gives 14.30 states/eV/f.u. The calculation puts the final energy at -82.3 eV for the cell shown. As for the space group: P-3.

***

Record 2
Computed, not measured: a relaxed Pm4AuSe3 crystal at the PBE level of DFT.

Structure (CIF):
```
data_Pm4AuSe3
_cell_length_a 7.3751
_cell_length_b 7.3751
_cell_length_c 4.1563
_cell_angle_alpha 90.00
_cell_angle_beta 90.00
_cell_angle_gamma 108.93
_symmetry_space_group_name_H-M 'P 1'
_symmetry_Int_Tables_number 1
loop_
_symmetry_equiv_pos_as_xyz
'x,y,z'
loop_
_atom_site_label
_atom_site_fract_x
_atom_site_fract_y
_atom_site_fract_z
_atom_site_occupancy
Pm1 0.2483 0.7517 0.0000 1
Pm2 0.2509 0.2509 0.5000 1
Pm3 0.7491 0.7491 0.5000 1
Pm4 0.7517 0.2483 0.0000 1
Au1 0.5000 0.5000 0.0000 1
Se1 0.0000 0.0000 0.0000 1
Se2 0.0000 0.5000 0.5000 1
Se3 0.5000 0.0000 0.5000 1
```

For the density of states at the Fermi level, the calculation gives 5.81 states/eV/f.u. The calculation puts the final energy at -45.3 eV for the cell shown. As for the space group: Cmmm.

***

Record 3
Computed, not measured: a relaxed PmAuSe2 crystal at the PBE level of DFT.

Structure (CIF):
```
data_PmAuSe2
_cell_length_a 8.2074
_cell_length_b 8.2074
_cell_length_c 8.2074
_cell_angle_alpha 31.45
_cell_angle_beta 31.45
_cell_angle_gamma 31.45
_symmetry_space_group_name_H-M 'P 1'
_symmetry_Int_Tables_number 1
loop_
_symmetry_equiv_pos_as_xyz
'x,y,z'
loop_
_atom_site_label
_atom_site_fract_x
_atom_site_fract_y
_atom_site_fract_z
_atom_site_occupancy
Pm1 0.0000 0.0000 0.0000 1
Au1 0.5000 0.5000 0.5000 1
Se1 0.3962 0.3962 0.3962 1
Se2 0.6038 0.6038 0.6038 1
```

For the density of states at the Fermi level, the calculation gives 0.00 states/eV/f.u. As for the energy above the most stable polymorph in this dataset: 5.57 kJ per mole of atoms. The calculation puts the final energy at -19.5 eV for the cell shown. As for the space group: R-3m.

***

Record 4
Computed, not measured: a relaxed Pm3AuSe2 crystal at the PBE level of DFT.

Structure (CIF):
```
data_Pm3AuSe2
_cell_length_a 7.4449
_cell_length_b 7.4449
_cell_length_c 7.4449
_cell_angle_alpha 147.68
_cell_angle_beta 132.46
_cell_angle_gamma 58.66
_symmetry_space_group_name_H-M 'P 1'
_symmetry_Int_Tables_number 1
loop_
_symmetry_equiv_pos_as_xyz
'x,y,z'
loop_
_atom_site_label
_atom_site_fract_x
_atom_site_fract_y
_atom_site_fract_z
_atom_site_occupancy
Pm1 0.0000 0.0000 0.0000 1
Pm2 0.3292 0.3292 0.0000 1
Pm3 0.6708 0.6708 0.0000 1
Au1 0.5000 0.0000 0.5000 1
Se1 0.1651 0.6651 0.5000 1
Se2 0.8349 0.3349 0.5000 1
```

For the density of states at the Fermi level, the calculation gives 5.58 states/eV/f.u. The calculation puts the final energy at -33.3 eV for the cell shown. As for the space group: Immm.

***

Record 5
Computed, not measured: a relaxed PmAuSe crystal at the PBE level of DFT.

Structure (CIF):
```
data_PmAuSe
_cell_length_a 8.8200
_cell_length_b 8.8200
_cell_length_c 8.8200
_cell_angle_alpha 31.98
_cell_angle_beta 31.98
_cell_angle_gamma 31.98
_symmetry_space_group_name_H-M 'P 1'
_symmetry_Int_Tables_number 1
loop_
_symmetry_equiv_pos_as_xyz
'x,y,z'
loop_
_atom_site_label
_atom_site_fract_x
_atom_site_fract_y
_atom_site_fract_z
_atom_site_occupancy
Pm1 0.2409 0.2409 0.2409 1
Pm2 0.7591 0.7591 0.7591 1
Au1 0.3622 0.3622 0.3622 1
Au2 0.6378 0.6378 0.6378 1
Se1 0.1202 0.1202 0.1202 1
Se2 0.8798 0.8798 0.8798 1
```

For the density of states at the Fermi level, the calculation gives 0.37 states/eV/f.u. The calculation puts the final energy at -30.0 eV for the cell shown. As for the space group: R-3m.

***

Record 6
Computed, not measured: a relaxed Pm4SiAuSe2 crystal at the PBE level of DFT.

Structure (CIF):
```
data_Pm4SiAuSe2
_cell_length_a 7.2592
_cell_length_b 4.2120
_cell_length_c 7.4652
_cell_angle_alpha 90.00
_cell_angle_beta 108.64
_cell_angle_gamma 90.00
_symmetry_space_group_name_H-M 'P 1'
_symmetry_Int_Tables_number 1
loop_
_symmetry_equiv_pos_as_xyz
'x,y,z'
loop_
_atom_site_label
_atom_site_fract_x
_atom_site_fract_y
_atom_site_fract_z
_atom_site_occupancy
Pm1 0.2399 0.0000 0.2444 1
Pm2 0.2410 0.5000 0.7474 1
Pm3 0.7590 0.5000 0.2526 1
Pm4 0.7601 0.0000 0.7556 1
Si1 0.0000 0.5000 0.0000 1
Au1 0.5000 0.0000 0.0000 1
Se1 0.0000 0.0000 0.5000 1
Se2 0.5000 0.5000 0.5000 1
```

For the density of states at the Fermi level, the calculation gives 5.03 states/eV/f.u. The calculation puts the final energy at -44.9 eV for the cell shown. As for the space group: P2/m.

***

Question: Number 3 is which compound?
Answer: PmAuSe2